Entry 1:
VASP calculation (PBE) on a relaxed structure of SmAgHgAu.

a = 4.7739 Å, b = 4.7739 Å, c = 7.8333 Å
α = 90.00°, β = 90.00°, γ = 90.00°
Last column: nearest neighbours and their distance in Å.
Positions (direct):
Sm 0.0000 0.0000 0.0000  4 Hg 3.09, 4 Au 3.09, 4 Ag 3.38
Sm 0.5000 0.5000 0.5000  4 Hg 3.09, 4 Au 3.09, 4 Ag 3.38
Ag 0.0000 0.0000 0.5000  4 Hg 3.09, 4 Au 3.09, 4 Sm 3.38
Ag 0.5000 0.5000 0.0000  4 Hg 3.09, 4 Au 3.09, 4 Sm 3.38
Hg 0.0000 0.5000 0.2500  4 Ag 3.09, 4 Sm 3.09, 4 Au 3.38
Hg 0.5000 0.0000 0.7500  4 Ag 3.09, 4 Sm 3.09, 4 Au 3.38
Au 0.0000 0.5000 0.7500  4 Sm 3.09, 4 Ag 3.09, 4 Hg 3.38
Au 0.5000 0.0000 0.2500  4 Sm 3.09, 4 Ag 3.09, 4 Hg 3.38

Its space group is I-4m2, No. 119. The formation energy comes out at -0.448 eV per atom. The calculation puts the energy above the most stable polymorph in this dataset at 0 meV per atom. The total moment is 0.00 μB/cell.


Entry 2:
VASP calculation (PBE) on a relaxed structure of SmAgHgAu.

a = 7.0961 Å, b = 7.0961 Å, c = 7.0961 Å
α = 90.00°, β = 90.00°, γ = 90.00°
Last column: nearest neighbours and their distance in Å.
Positions (direct):
Sm 0.0000 0.0000 0.0000  4 Hg 3.07, 4 Au 3.07
Sm 0.0000 0.5000 0.5000  4 Hg 3.07, 4 Au 3.07
Sm 0.5000 0.0000 0.5000  4 Hg 3.07, 4 Au 3.07
Sm 0.5000 0.5000 0.0000  4 Hg 3.07, 4 Au 3.07
Ag 0.0000 0.0000 0.5000  4 Hg 3.07, 4 Au 3.07
Ag 0.0000 0.5000 0.0000  4 Hg 3.07, 4 Au 3.07
Ag 0.5000 0.0000 0.0000  4 Hg 3.07, 4 Au 3.07
Ag 0.5000 0.5000 0.5000  4 Hg 3.07, 4 Au 3.07
Hg 0.2500 0.2500 0.7500  4 Sm 3.07, 4 Ag 3.07
Hg 0.2500 0.7500 0.2500  4 Sm 3.07, 4 Ag 3.07
Hg 0.7500 0.2500 0.2500  4 Sm 3.07, 4 Ag 3.07
Hg 0.7500 0.7500 0.7500  4 Sm 3.07, 4 Ag 3.07
Au 0.2500 0.2500 0.2500  4 Sm 3.07, 4 Ag 3.07
Au 0.2500 0.7500 0.7500  4 Sm 3.07, 4 Ag 3.07
Au 0.7500 0.2500 0.7500  4 Sm 3.07, 4 Ag 3.07
Au 0.7500 0.7500 0.2500  4 Sm 3.07, 4 Ag 3.07

Its space group is F-43m, No. 216. The formation energy comes out at -0.444 eV per atom. The calculation puts the energy above the most stable polymorph in this dataset at 4 meV per atom. The total moment is 0.00 μB/cell.


Number 2 is which compound?
SmAgHgAu